# 1
Entry from Alexandria via LeMat-Bulk: an optimized crystal structure of SiSb2Se2 (PBE).

abc: 5.908 5.908 5.908
angles: 123.68 123.68 83.74
Fractional positions:
Si: 0.000 0.000 0.000
Sb: 0.250 0.750 0.500
Sb: 0.750 0.250 0.500
Se: 0.320 0.320 0.000
Se: 0.680 0.680 0.000

Values from the calculation:
Excess energy over the best structure of this formula in the dataset (eV per formula unit): 0.25
Symmetry: I4/mmm, No. 139
ΔE_f (raw) (meV/atom): 415
Calculated volume (Å³ per atom): 27.36
Calculated total energy (eV per atom): -3.713
Total magnetic moment (μB per atom): 0.00

# 2
Entry from Alexandria via LeMat-Bulk: an optimized crystal structure of LaHgN2O (PBE).

abc: 4.181 4.181 4.274
angles: 90.00 90.00 90.00
Fractional positions:
La: 0.000 0.000 0.000
Hg: 0.500 0.500 0.500
N: 0.000 0.500 0.500
N: 0.500 0.000 0.500
O: 0.500 0.500 0.000

Values from the calculation:
Symmetry: P4/mmm, No. 123
ΔE_f (raw) (meV/atom): 275
Calculated volume (Å³ per atom): 14.94
Calculated total energy (eV per atom): -5.092
Total magnetic moment (μB per atom): 0.00

Please write out number 2 again, unchanged.
Entry from Alexandria via LeMat-Bulk: an optimized crystal structure of LaHgN2O (PBE).

abc: 4.181 4.181 4.274
angles: 90.00 90.00 90.00
Fractional positions:
La: 0.000 0.000 0.000
Hg: 0.500 0.500 0.500
N: 0.000 0.500 0.500
N: 0.500 0.000 0.500
O: 0.500 0.500 0.000

Values from the calculation:
Symmetry: P4/mmm, No. 123
ΔE_f (raw) (meV/atom): 275
Calculated volume (Å³ per atom): 14.94
Calculated total energy (eV per atom): -5.092
Total magnetic moment (μB per atom): 0.00

Number 1 is which compound? SiSb2Se2

The lowest ΔE_f (raw) belongs to which entry? LaHgN2O

ΔE_f (raw) of number 2 (LaHgN2O)? 275 meV/atom